VASP calculation (PBE-GGA) on crystalline Li2PmPr2Ga2 at its relaxed geometry.

Geometry as POSCAR:
```
Li2PmPr2Ga2
1.0
-2.9454 1.1776 3.4872
-4.5922 -1.0048 -0.3531
-1.0783 -7.8622 4.9306
Pr Ga Li Pm
2 2 2 1
Direct
0.8737 0.8737 0.3790
0.1263 0.1263 0.6210
0.7351 0.7351 0.7947
0.2649 0.2649 0.2053
0.3926 0.3926 0.8223
0.6074 0.6074 0.1777
0.0000 0.0000 0.0000
```

Calculated values
Energy of formation = -291 meV/atom
DOS(E_F) = 5.63 states/eV/f.u.
Final energy = -3.746 eV/atom
V = 24.57 Å³ per atom
Space-group type = No. 166

VASP calculation (PBE-GGA) on crystalline NaTl2CoSe at its relaxed geometry.

Geometry as POSCAR:
```
NaTl2CoSe
1.0
5.0232 0.0000 0.0000
0.0000 5.4166 0.0000
0.0000 0.0000 5.0232
Tl Se Co Na
2 1 1 1
Direct
0.5000 0.0000 0.0000
0.0000 0.0000 0.5000
0.5000 0.5000 0.5000
0.0000 0.0000 0.0000
0.0000 0.5000 0.0000
```

Calculated values
Formation energy (no corrections) = 0.22 eV/atom
DOS(E_F) = 7.63 states/eV/f.u.
Final energy = -3.110 eV/atom
V = 27.33 Å³ per atom
Space-group type = No. 123